! VHgN2O | Alexandria | PBE with a Hubbard U | relaxed; values from VASP
&SYSTEM
  ibrav = 0, nat = 5, ntyp = 4
/
ATOMIC_SPECIES
O 16.00 O.upf
Hg 200.59 Hg.upf
V 50.94 V.upf
N 14.01 N.upf
CELL_PARAMETERS angstrom
-3.3998 -2.2670 0.7187
-0.5900 -0.4106 -4.0863
2.3139 -3.4657 0.0142
ATOMIC_POSITIONS angstrom
O 1.1570 -1.7328 0.0071
Hg 0.0000 0.0000 0.0000
V -0.8379 -3.0717 -1.6767
N -1.6999 -1.1335 0.3594
N -0.2950 -0.2053 -2.0431
! E_tot = -3.7546 eV/atom
! Magnetic moment = 1.2 μB/f.u.
! Space-group type = P4/mmm (123)